The following is a GGA-PBEsol calculation of an optimized crystal structure of Ca2YCu, from Alexandria via LeMat-Bulk.

Lattice parameters (Å, degrees): 5.314 5.314 5.314 60.00 60.00 60.00
Fractional positions:
Y (0.250, 0.250, 0.250)
Ca (0.000, 0.000, 0.000)
Cu (0.500, 0.500, 0.500)
Ca (0.750, 0.750, 0.750)

## Properties
V ... 26.5 Å³ per atom
Distance to the lowest polymorph of the same formula ... 113 kJ/mol of formula units
Final energy ... -14.38 eV/cell
Space group ... F-43m, No. 216
Energy of formation from the pure elements ... 25.19 kJ/mol of atoms